Material: Mn6Ag4F19
Method: DFT, GGA+U
State: relaxed

* total magnetization: 27.000 μB/cell
* space group: I23, No. 197
* uncorrected energy: -152.45 eV/f.u.

Lattice parameters (Å, degrees): 8.338 8.338 8.338 109.47 109.47 109.47
Positions (direct):
F1 0.350 0.314 0.627
Mn1 0.500 0.834 0.334
F2 0.036 0.312 0.686
Ag1 0.283 0.283 0.283
Mn2 0.334 0.500 0.834
F3 0.627 0.350 0.314
Ag2 0.000 0.717 0.000
F4 0.312 0.686 0.036
F5 0.358 0.000 0.358
F6 0.000 0.642 0.642
Mn3 0.166 0.666 0.500
F7 0.373 0.688 0.723
Mn4 0.834 0.334 0.500
F8 0.686 0.036 0.312
F9 0.277 0.964 0.650
Mn5 0.666 0.500 0.166
F10 0.964 0.650 0.277
F11 0.642 0.000 0.642
F12 0.642 0.642 0.000
F13 0.650 0.277 0.964
F14 0.688 0.723 0.373
Mn6 0.500 0.166 0.666
F15 0.000 0.000 0.000
F16 0.358 0.358 0.000
Ag3 0.717 0.000 0.000
F17 0.723 0.373 0.688
F18 0.000 0.358 0.358
F19 0.314 0.627 0.350
Ag4 0.000 0.000 0.717